Entry 1:
Li4Ta2Ir | GGA-PBE | optimized geometry

Output
The energy of formation is 963 meV per atom. The value obtained for the energy is -4.783 eV/atom.

Cell and atoms, written as CIF:
```
data_Li4Ta2Ir
_chemical_formula_sum 'Li4 Ta2 Ir1'
_space_group_name_H-M_alt 'P 1'
_space_group_IT_number 1
_space_group_name_Hall 'P 1'
_cell_length_a 7.375
_cell_length_b 7.375
_cell_length_c 7.375
_cell_angle_alpha 145.18
_cell_angle_beta 145.18
_cell_angle_gamma 50.06
loop_
_atom_site_label
_atom_site_fract_x
_atom_site_fract_y
_atom_site_fract_z
_atom_site_occupancy
Li1 0.000 0.500 0.500 1
Li2 0.186 0.186 0.000 1
Li3 0.500 0.000 0.500 1
Li4 0.814 0.814 0.000 1
Ta1 0.408 0.408 0.000 1
Ta2 0.592 0.592 0.000 1
Ir1 0.000 0.000 0.000 1
```

Entry 2:
Nb2HPd | GGA-PBE | optimized geometry

Output
For the energy above the most stable polymorph in this dataset, the calculation gives 558 meV per atom. The value obtained for the energy is -6.768 eV/atom.

Cell and atoms, written as CIF:
```
data_Nb2HPd
_chemical_formula_sum 'Nb2 H1 Pd1'
_space_group_name_H-M_alt 'P 1'
_space_group_IT_number 1
_space_group_name_Hall 'P 1'
_cell_length_a 4.388
_cell_length_b 4.388
_cell_length_c 4.388
_cell_angle_alpha 60.00
_cell_angle_beta 60.00
_cell_angle_gamma 60.00
loop_
_atom_site_label
_atom_site_fract_x
_atom_site_fract_y
_atom_site_fract_z
_atom_site_occupancy
Nb1 0.250 0.250 0.250 1
Nb2 0.750 0.750 0.750 1
H1 0.000 0.000 0.000 1
Pd1 0.500 0.500 0.500 1
```

Entry 3:
Ca2GaRhO6 | GGA-PBE | optimized geometry

Output
As for the raw formation energy: -1880 meV/atom. The value obtained for the energy is -6.294 eV/atom.

Cell and atoms, written as CIF:
```
data_Ca2GaRhO6
_chemical_formula_sum 'Ca4 Ga2 Rh2 O12'
_space_group_name_H-M_alt 'P 1'
_space_group_IT_number 1
_space_group_name_Hall 'P 1'
_cell_length_a 5.408
_cell_length_b 5.554
_cell_length_c 9.397
_cell_angle_alpha 90.00
_cell_angle_beta 125.04
_cell_angle_gamma 90.00
loop_
_atom_site_label
_atom_site_fract_x
_atom_site_fract_y
_atom_site_fract_z
_atom_site_occupancy
Ca1 0.238 0.055 0.251 1
Ca2 0.238 0.445 0.751 1
Ca3 0.762 0.555 0.249 1
Ca4 0.762 0.945 0.749 1
Ga1 0.500 0.000 0.000 1
Ga2 0.500 0.500 0.500 1
Rh1 0.000 0.000 0.500 1
Rh2 0.000 0.500 0.000 1
O1 0.151 0.204 0.951 1
O2 0.151 0.296 0.451 1
O3 0.252 0.703 0.953 1
O4 0.252 0.797 0.453 1
O5 0.343 0.026 0.751 1
O6 0.343 0.474 0.251 1
O7 0.657 0.526 0.749 1
O8 0.657 0.974 0.249 1
O9 0.748 0.203 0.547 1
O10 0.748 0.297 0.047 1
O11 0.849 0.704 0.549 1
O12 0.849 0.796 0.049 1
```